A plane-wave DFT calculation with PBE-GGA was carried out for Tb2Ho5Tm5 after structural relaxation.

Cell: 7.838 7.838 11.089 Å, 115.07 115.07 36.89°
Fractional positions:
Tb1 0.083 0.083 0.250
Tb2 0.917 0.917 0.750
Ho1 0.000 0.000 0.500
Ho2 0.166 0.166 0.000
Ho3 0.249 0.249 0.749
Ho4 0.751 0.751 0.251
Ho5 0.834 0.834 0.000
Tm1 0.333 0.333 0.500
Tm2 0.417 0.417 0.250
Tm3 0.500 0.500 0.000
Tm4 0.583 0.583 0.750
Tm5 0.667 0.667 0.500

Calculated values
Its total DFT energy (no corrections) is -54.2 eV/cell.

---

A plane-wave DFT calculation with PBE-GGA was carried out for Tb4HoTm2 after structural relaxation.

Cell: 8.499 8.499 8.665 Å, 118.83 118.83 23.78°
Fractional positions:
Tb1 0.139 0.139 0.332
Tb2 0.204 0.204 0.794
Tb3 0.796 0.796 0.206
Tb4 0.861 0.861 0.668
Ho1 0.500 0.500 0.500
Tm1 0.430 0.430 0.070
Tm2 0.570 0.570 0.930

Calculated values
The calculation puts the polymorph energy (0 for the lowest one) at 0 meV/atom.

---

A plane-wave DFT calculation with PBE-GGA was carried out for Tb12Ho5Tm2 after structural relaxation.

Cell: 6.308 8.990 11.590 Å, 69.18 88.30 80.67°
Fractional positions:
Tb1 0.036 0.199 0.140
Tb2 0.153 0.527 0.187
Tb3 0.214 0.186 0.767
Tb4 0.278 0.830 0.347
Tb5 0.426 0.557 0.624
Tb6 0.458 0.821 0.763
Tb7 0.542 0.179 0.237
Tb8 0.574 0.443 0.376
Tb9 0.722 0.170 0.653
Tb10 0.786 0.814 0.233
Tb11 0.847 0.473 0.813
Tb12 0.964 0.801 0.860
Ho1 0.000 0.500 0.500
Ho2 0.212 0.133 0.477
Ho3 0.285 0.904 0.040
Ho4 0.715 0.096 0.960
Ho5 0.788 0.867 0.523
Tm1 0.339 0.430 0.931
Tm2 0.661 0.570 0.069

Calculated values
The calculation puts the polymorph energy (0 for the lowest one) at 0 meV/atom.

---

A plane-wave DFT calculation with PBE-GGA was carried out for Tb12Ho6Tm after structural relaxation.

Cell: 9.328 9.328 9.328 Å, 108.34 108.34 108.34°
Fractional positions:
Tb1 0.000 0.390 0.610
Tb2 0.000 0.610 0.390
Tb3 0.139 0.139 0.353
Tb4 0.139 0.353 0.139
Tb5 0.353 0.139 0.139
Tb6 0.390 0.000 0.610
Tb7 0.390 0.610 0.000
Tb8 0.610 0.000 0.390
Tb9 0.610 0.390 0.000
Tb10 0.647 0.861 0.861
Tb11 0.861 0.647 0.861
Tb12 0.861 0.861 0.647
Ho1 0.179 0.179 0.758
Ho2 0.179 0.758 0.179
Ho3 0.242 0.821 0.821
Ho4 0.758 0.179 0.179
Ho5 0.821 0.242 0.821
Ho6 0.821 0.821 0.242
Tm1 0.500 0.500 0.500

Calculated values
The calculation puts the polymorph energy (0 for the lowest one) at 296 meV/atom.